# 1
# Cs3MgFe GGA-PBEsol optimized geometry
data_Cs3MgFe
_space_group_name_H-M_alt 'P 1'
_space_group_IT_number 1
_cell_length_a 6.6071
_cell_length_b 6.6071
_cell_length_c 6.6071
_cell_angle_alpha 90.00
_cell_angle_beta 90.00
_cell_angle_gamma 90.00
loop_
_space_group_symop_operation_xyz
'x,y,z'
loop_
_atom_site_label
_atom_site_fract_x
_atom_site_fract_y
_atom_site_fract_z
Cs1 0.0000 0.0000 0.5000
Cs2 0.0000 0.5000 0.0000
Cs3 0.5000 0.0000 0.0000
Mg1 0.5000 0.5000 0.5000
Fe1 0.0000 0.0000 0.0000
# Total magnetic moment: 1.1 μB per cell
# ΔH_f (0 K): 915.5 meV/atom
# Final energy: -8.931 eV/f.u.

---

# 2
# Ca2P7Ir12 GGA-PBEsol optimized geometry
data_Ca2P7Ir12
_space_group_name_H-M_alt 'P 1'
_space_group_IT_number 1
_cell_length_a 9.5077
_cell_length_b 9.5077
_cell_length_c 3.8925
_cell_angle_alpha 90.00
_cell_angle_beta 90.00
_cell_angle_gamma 120.00
loop_
_space_group_symop_operation_xyz
'x,y,z'
loop_
_atom_site_label
_atom_site_fract_x
_atom_site_fract_y
_atom_site_fract_z
Ca1 0.3333 0.6667 0.2498
Ca2 0.6667 0.3333 0.7502
P1 0.0000 0.0000 0.0000
P2 0.1243 0.7134 0.7457
P3 0.2866 0.4109 0.7457
P4 0.4109 0.1243 0.2543
P5 0.5891 0.8757 0.7457
P6 0.7134 0.5891 0.2543
P7 0.8757 0.2866 0.2543
Ir1 0.0649 0.4478 0.7522
Ir2 0.1048 0.2602 0.2579
Ir3 0.1554 0.8952 0.2579
Ir4 0.2602 0.1554 0.7421
Ir5 0.3829 0.9351 0.7522
Ir6 0.4478 0.3829 0.2478
Ir7 0.5522 0.6171 0.7522
Ir8 0.6171 0.0649 0.2478
Ir9 0.7398 0.8446 0.2579
Ir10 0.8446 0.1048 0.7421
Ir11 0.8952 0.7398 0.7421
Ir12 0.9351 0.5522 0.2478
# Total magnetic moment: 0.0 μB per cell
# ΔH_f (0 K): -630.1 meV/atom
# Final energy: -175.919 eV/f.u.

---

# 3
# SrZrSe2 GGA-PBEsol optimized geometry
data_SrZrSe2
_space_group_name_H-M_alt 'P 1'
_space_group_IT_number 1
_cell_length_a 4.0677
_cell_length_b 4.0677
_cell_length_c 5.7283
_cell_angle_alpha 90.00
_cell_angle_beta 90.00
_cell_angle_gamma 90.00
loop_
_space_group_symop_operation_xyz
'x,y,z'
loop_
_atom_site_label
_atom_site_fract_x
_atom_site_fract_y
_atom_site_fract_z
Sr1 0.0000 0.0000 0.0000
Zr1 0.5000 0.5000 0.5000
Se1 0.0000 0.0000 0.5000
Se2 0.5000 0.5000 0.0000
# Total magnetic moment: 0.0 μB per cell
# ΔE to the lowest computed polymorph: 0 meV/atom
# E_form (uncorrected): -1.37 eV/atom
# Final energy: -24.105 eV/f.u.

---

# 4
# K2DyNb5O15 GGA-PBEsol optimized geometry
data_K2DyNb5O15
_space_group_name_H-M_alt 'P 1'
_space_group_IT_number 1
_cell_length_a 12.6231
_cell_length_b 12.6231
_cell_length_c 3.9204
_cell_angle_alpha 90.00
_cell_angle_beta 90.00
_cell_angle_gamma 90.00
loop_
_space_group_symop_operation_xyz
'x,y,z'
loop_
_atom_site_label
_atom_site_fract_x
_atom_site_fract_y
_atom_site_fract_z
K1 0.1699 0.3301 0.0000
K2 0.3301 0.8301 0.0000
K3 0.6699 0.1699 0.0000
K4 0.8301 0.6699 0.0000
Dy1 0.0000 0.0000 0.0000
Dy2 0.5000 0.5000 0.0000
Nb1 0.0000 0.5000 0.5000
Nb2 0.0769 0.7886 0.5000
Nb3 0.2114 0.0769 0.5000
Nb4 0.2886 0.5769 0.5000
Nb5 0.4231 0.2886 0.5000
Nb6 0.5000 0.0000 0.5000
Nb7 0.5769 0.7114 0.5000
Nb8 0.7114 0.4231 0.5000
Nb9 0.7886 0.9231 0.5000
Nb10 0.9231 0.2114 0.5000
O1 0.0000 0.5000 0.0000
O2 0.0013 0.3417 0.5000
O3 0.0583 0.1305 0.5000
O4 0.0782 0.8164 0.0000
O5 0.1305 0.9417 0.5000
O6 0.1583 0.4987 0.5000
O7 0.1836 0.0782 0.0000
O8 0.2178 0.7178 0.5000
O9 0.2822 0.2178 0.5000
O10 0.3164 0.5782 0.0000
O11 0.3417 0.9987 0.5000
O12 0.3695 0.4417 0.5000
O13 0.4218 0.3164 0.0000
O14 0.4417 0.6305 0.5000
O15 0.4987 0.8417 0.5000
O16 0.5000 0.0000 0.0000
O17 0.5013 0.1583 0.5000
O18 0.5583 0.3695 0.5000
O19 0.5782 0.6836 0.0000
O20 0.6305 0.5583 0.5000
O21 0.6583 0.0013 0.5000
O22 0.6836 0.4218 0.0000
O23 0.7178 0.7822 0.5000
O24 0.7822 0.2822 0.5000
O25 0.8164 0.9218 0.0000
O26 0.8417 0.5013 0.5000
O27 0.8695 0.0583 0.5000
O28 0.9218 0.1836 0.0000
O29 0.9417 0.8695 0.5000
O30 0.9987 0.6583 0.5000
# Total magnetic moment: 0.0 μB per cell
# E_form (uncorrected): -2.62 eV/atom
# Final energy: -200.381 eV/f.u.